[1]
16
Lattice="5.421 -0.011 0.000 0.012 5.421 0.000 0.000 0.000 7.671" Properties=species:S:1:pos:R:3 comment="MnCuRh14 | Alexandria | PBE | relaxed" delta_e_f_ev_per_fu=0.0 dos_at_fermi_per_ev_fu=21.868 total_magnetization_mub_per_cell=2.4 space_group=P4/mmm pbc="T T T"
Mn 4.753 4.733 3.835
Cu 2.037 2.028 3.835
Rh 4.753 4.733 0.000
Rh 2.037 2.028 0.000
Rh 4.747 2.023 3.835
Rh 4.747 2.023 0.000
Rh 2.043 4.739 3.835
Rh 2.043 4.739 0.000
Rh 3.393 0.667 1.923
Rh 3.393 0.667 5.748
Rh 0.682 3.390 1.923
Rh 0.682 3.390 5.748
Rh 3.398 3.384 1.923
Rh 3.398 3.384 5.748
Rh 0.676 0.673 1.923
Rh 0.676 0.673 5.748

***

[2]
4
Lattice="4.623 0.000 0.000 2.312 4.004 0.000 2.312 1.335 3.775" Properties=species:S:1:pos:R:3 comment="TbMnCuRh | Alexandria | PBE | relaxed" delta_e_f_ev_per_fu=-0.8 dos_at_fermi_per_ev_fu=3.387 total_magnetization_mub_per_cell=4.3 space_group=F-43m pbc="T T T"
Rh 6.935 4.004 2.831
Mn 4.623 2.669 1.888
Tb 0.000 0.000 0.000
Cu 2.312 1.335 0.944

***

[3]
5
Lattice="-2.235 4.244 1.066 -2.996 -0.631 -3.768 -3.155 -2.392 2.909" Properties=species:S:1:pos:R:3 comment="Mn2CuTeRh | Alexandria | PBE | relaxed" e_form_raw_kj_per_mol_atoms=105 dos_at_fermi_per_ev_fu=4.346 total_magnetization_mub_per_cell=8.0 space_group=P4/mmm pbc="T T T"
Mn -1.577 -1.196 1.455
Mn -1.117 2.122 0.533
Te 0.000 0.000 0.000
Rh -1.498 -0.316 -1.884
Cu -4.193 0.610 0.104